## i
# RbAg3SnS4, optimized geometry, DFT PBE-GGA
# Crystal system = monoclinic
data_RbAg3SnS4
_chemical_formula_sum 'Rb2 Ag6 Sn2 S8'
_cell_length_a 6.408
_cell_length_b 7.709
_cell_length_c 10.564
_cell_angle_alpha 90.00
_cell_angle_beta 105.39
_cell_angle_gamma 90.00
_space_group_name_H-M_alt 'P 1'
_space_group_IT_number 1
loop_
_space_group_symop_operation_xyz
'x,y,z'
loop_
_atom_site_label
_atom_site_type_symbol
_atom_site_fract_x
_atom_site_fract_y
_atom_site_fract_z
Rb1 Rb 0.133 0.250 0.360
Rb2 Rb 0.867 0.750 0.640
Ag1 Ag 0.304 0.555 0.040
Ag2 Ag 0.304 0.945 0.040
Ag3 Ag 0.434 0.750 0.291
Ag4 Ag 0.566 0.250 0.709
Ag5 Ag 0.696 0.055 0.960
Ag6 Ag 0.696 0.445 0.960
Sn1 Sn 0.123 0.250 0.785
Sn2 Sn 0.877 0.750 0.215
S1 S 0.038 0.250 0.000
S2 S 0.163 0.750 0.413
S3 S 0.346 0.507 0.784
S4 S 0.346 0.993 0.784
S5 S 0.654 0.007 0.216
S6 S 0.654 0.493 0.216
S7 S 0.837 0.250 0.587
S8 S 0.962 0.750 0.000

=====

## ii
# RbAg3SnS4, optimized geometry, DFT PBE-GGA
# Crystal system = cubic
data_RbAg3SnS4
_chemical_formula_sum 'Rb1 Ag3 Sn1 S4'
_cell_length_a 6.486
_cell_length_b 6.486
_cell_length_c 6.486
_cell_angle_alpha 90.00
_cell_angle_beta 90.00
_cell_angle_gamma 90.00
_space_group_name_H-M_alt 'P 1'
_space_group_IT_number 1
loop_
_space_group_symop_operation_xyz
'x,y,z'
loop_
_atom_site_label
_atom_site_type_symbol
_atom_site_fract_x
_atom_site_fract_y
_atom_site_fract_z
Rb1 Rb 0.000 0.000 0.000
Ag1 Ag 0.000 0.500 0.500
Ag2 Ag 0.500 0.000 0.500
Ag3 Ag 0.500 0.500 0.000
Sn1 Sn 0.500 0.500 0.500
S1 S 0.285 0.285 0.285
S2 S 0.285 0.715 0.715
S3 S 0.715 0.285 0.715
S4 S 0.715 0.715 0.285

=====

Which is most stable? The ranking, best first, is i, ii.